MgPPt3: optimized geometry, GGA-PBEsol.

The structure in CIF format:
```
data_MgPPt3
_space_group_name_H-M_alt 'P m -3 m'
_space_group_IT_number 221
_space_group_name_Hall '-P 4 2 3'
_cell_length_a 4.5341
_cell_length_b 4.5341
_cell_length_c 4.5341
_cell_angle_alpha 90.00
_cell_angle_beta 90.00
_cell_angle_gamma 90.00
loop_
_atom_site_label
_atom_site_type_symbol
_atom_site_fract_x
_atom_site_fract_y
_atom_site_fract_z
Mg1 Mg 0.0000 0.0000 0.0000
P1 P 0.5000 0.5000 0.5000
Pt1 Pt 0.0000 0.0000 0.5000
```

ΔE_f in meV/atom: 1240
Calculated total energy in eV per atom: -4.439